Density functional theory data (PBE) for a geometry-optimized AgGe3Ru structure.

Mass density: 6.464 g cm⁻³
Volume: 21.9 Å³ per atom
Space group: No. 221
E_tot: -4.844 eV per atom
Energy relative to the lowest polymorph listed for this composition: 0 meV per atom
Fermi-level density of states: 4.91 states/eV/f.u.
Total moment: 0.00 μB per atom

Cell lengths 4.787, 4.787, 4.787 Å; angles 90.00, 90.00, 90.00 degrees
Positions (direct):
Ag1 0.000 0.000 0.000
Ge1 0.000 0.500 0.500
Ge2 0.500 0.000 0.500
Ge3 0.500 0.500 0.000
Ru1 0.500 0.500 0.500

=====

Density functional theory data (PBE) for a geometry-optimized AgGe2Ru structure.

Mass density: 6.282 g cm⁻³
Volume: 23.4 Å³ per atom
Space group: No. 122
E_tot: -4.886 eV per atom
Energy relative to the lowest polymorph listed for this composition: 196 meV per atom
Fermi-level density of states: 2.56 states/eV/f.u.
Total moment: 0.00 μB per atom

Cell lengths 5.875, 5.875, 10.852 Å; angles 90.00, 90.00, 90.00 degrees
Positions (direct):
Ag1 0.000 0.000 0.000
Ag2 0.000 0.500 0.250
Ag3 0.500 0.000 0.750
Ag4 0.500 0.500 0.500
Ge1 0.213 0.250 0.625
Ge2 0.250 0.713 0.875
Ge3 0.250 0.787 0.375
Ge4 0.287 0.250 0.125
Ge5 0.713 0.750 0.125
Ge6 0.750 0.213 0.375
Ge7 0.750 0.287 0.875
Ge8 0.787 0.750 0.625
Ru1 0.000 0.000 0.500
Ru2 0.000 0.500 0.750
Ru3 0.500 0.000 0.250
Ru4 0.500 0.500 0.000

=====

Density functional theory data (PBE) for a geometry-optimized AgGeRu3 structure.

Mass density: 8.543 g cm⁻³
Volume: 18.8 Å³ per atom
Space group: No. 221
E_tot: -5.879 eV per atom
Energy relative to the lowest polymorph listed for this composition: 0 meV per atom
Fermi-level density of states: 7.85 states/eV/f.u.
Total moment: 0.55 μB per atom

Cell lengths 4.547, 4.547, 4.547 Å; angles 90.00, 90.00, 90.00 degrees
Positions (direct):
Ag1 0.000 0.000 0.000
Ge1 0.500 0.500 0.500
Ru1 0.000 0.500 0.500
Ru2 0.500 0.000 0.500
Ru3 0.500 0.500 0.000

=====

Density functional theory data (PBE) for a geometry-optimized AgGeRu3 structure.

Mass density: 7.187 g cm⁻³
Volume: 22.4 Å³ per atom
Space group: No. 221
E_tot: -4.769 eV per atom
Energy relative to the lowest polymorph listed for this composition: 1110 meV per atom
Fermi-level density of states: 9.74 states/eV/f.u.
Total moment: 1.08 μB per atom

Cell lengths 4.817, 4.817, 4.817 Å; angles 90.00, 90.00, 90.00 degrees
Positions (direct):
Ag1 0.000 0.000 0.000
Ge1 0.500 0.500 0.500
Ru1 0.000 0.000 0.500
Ru2 0.000 0.500 0.000
Ru3 0.500 0.000 0.000

=====

Density functional theory data (PBE) for a geometry-optimized Ag2Ge2Ru structure.

Mass density: 8.904 g cm⁻³
Volume: 17.2 Å³ per atom
Space group: No. 127
E_tot: -4.639 eV per atom
Fermi-level density of states: 3.46 states/eV/f.u.
Total moment: 0.00 μB per atom

Cell lengths 6.532, 6.532, 4.039 Å; angles 90.00, 90.00, 90.00 degrees
Positions (direct):
Ag1 0.163 0.337 0.000
Ag2 0.337 0.837 0.000
Ag3 0.663 0.163 0.000
Ag4 0.837 0.663 0.000
Ge1 0.146 0.646 0.500
Ge2 0.354 0.146 0.500
Ge3 0.646 0.854 0.500
Ge4 0.854 0.354 0.500
Ru1 0.000 0.000 0.500
Ru2 0.500 0.500 0.500

=====

Density functional theory data (PBE) for a geometry-optimized Tc2AgGeRu structure.

Mass density: 6.868 g cm⁻³
Volume: 23.1 Å³ per atom
Space group: No. 123
E_tot: -5.135 eV per atom
Fermi-level density of states: 6.44 states/eV/f.u.
Total moment: 1.30 μB per atom

Cell lengths 4.874, 4.874, 4.860 Å; angles 90.00, 90.00, 90.00 degrees
Positions (direct):
Tc1 0.000 0.500 0.000
Tc2 0.500 0.000 0.000
Ag1 0.000 0.000 0.000
Ge1 0.500 0.500 0.500
Ru1 0.000 0.000 0.500

=====

Density functional theory data (PBE) for a geometry-optimized Tl2AgGeRu structure.

Mass density: 8.647 g cm⁻³
Volume: 26.5 Å³ per atom
Space group: No. 123
E_tot: -3.966 eV per atom
Fermi-level density of states: 2.57 states/eV/f.u.
Total moment: 0.00 μB per atom

Cell lengths 5.317, 5.317, 4.690 Å; angles 90.00, 90.00, 90.00 degrees
Positions (direct):
Tl1 0.000 0.500 0.000
Tl2 0.500 0.000 0.000
Ag1 0.000 0.000 0.500
Ge1 0.500 0.500 0.500
Ru1 0.500 0.500 0.000

=====

Density functional theory data (PBE) for a geometry-optimized Ag5GeS5 structure.

Mass density: 5.965 g cm⁻³
Volume: 19.5 Å³ per atom
Space group: No. 12
E_tot: -3.617 eV per atom
Formation energy without anion corrections: -0.025 eV/atom
Fermi-level density of states: 5.60 states/eV/f.u.
Total moment: 0.00 μB per atom

Cell lengths 6.530, 6.530, 7.322 Å; angles 106.16, 106.16, 46.25 degrees
Positions (direct):
Ag1 0.000 0.000 0.000
Ag2 0.337 0.337 0.677
Ag3 0.346 0.346 0.154
Ag4 0.654 0.654 0.846
Ag5 0.663 0.663 0.323
Ge1 0.000 0.000 0.500
S1 0.146 0.146 0.322
S2 0.163 0.163 0.824
S3 0.500 0.500 0.500
S4 0.837 0.837 0.176
S5 0.854 0.854 0.678

=====

Density functional theory data (PBE) for a geometry-optimized Ag3Ge2S4 structure.

Mass density: 5.278 g cm⁻³
Volume: 20.9 Å³ per atom
Space group: No. 15
E_tot: -3.875 eV per atom
Formation energy without anion corrections: -0.064 eV/atom
Fermi-level density of states: 5.02 states/eV/f.u.
Total moment: 0.00 μB per atom

Cell lengths 7.879, 7.879, 6.094 Å; angles 94.38, 94.38, 92.21 degrees
Positions (direct):
Ag1 0.226 0.774 0.750
Ag2 0.275 0.479 0.422
Ag3 0.479 0.275 0.922
Ag4 0.521 0.725 0.078
Ag5 0.725 0.521 0.578
Ag6 0.774 0.226 0.250
Ge1 0.045 0.274 0.907
Ge2 0.274 0.045 0.407
Ge3 0.726 0.955 0.593
Ge4 0.955 0.726 0.093
S1 0.053 0.253 0.509
S2 0.247 0.510 0.001
S3 0.253 0.053 0.009
S4 0.490 0.753 0.499
S5 0.510 0.247 0.501
S6 0.747 0.947 0.991
S7 0.753 0.490 0.999
S8 0.947 0.747 0.491

=====

Density functional theory data (PBE) for a geometry-optimized AgGe6S8 structure.

Mass density: 3.401 g cm⁻³
Volume: 26.0 Å³ per atom
Space group: No. 148
E_tot: -4.293 eV per atom
Formation energy without anion corrections: -0.055 eV/atom
Fermi-level density of states: 5.74 states/eV/f.u.
Total moment: 0.00 μB per atom

Cell lengths 7.362, 7.362, 7.362 Å; angles 96.52, 96.52, 96.52 degrees
Positions (direct):
Ag1 0.000 0.000 0.000
Ge1 0.169 0.526 0.386
Ge2 0.386 0.169 0.526
Ge3 0.474 0.614 0.831
Ge4 0.526 0.386 0.169
Ge5 0.614 0.831 0.474
Ge6 0.831 0.474 0.614
S1 0.130 0.404 0.672
S2 0.215 0.215 0.215
S3 0.328 0.870 0.596
S4 0.404 0.672 0.130
S5 0.596 0.328 0.870
S6 0.672 0.130 0.404
S7 0.785 0.785 0.785
S8 0.870 0.596 0.328

=====

Density functional theory data (PBE) for a geometry-optimized Ag2GeS structure.

Mass density: 7.180 g cm⁻³
Volume: 18.5 Å³ per atom
Space group: No. 225
E_tot: -3.313 eV per atom
Formation energy without anion corrections: 0.299 eV/atom
Energy relative to the lowest polymorph listed for this composition: 0 meV per atom
Fermi-level density of states: 1.55 states/eV/f.u.
Total moment: 0.00 μB per atom

Cell lengths 6.668, 6.668, 6.668 Å; angles 90.00, 90.00, 90.00 degrees
Positions (direct):
Ag1 0.250 0.250 0.250
Ag2 0.250 0.250 0.750
Ag3 0.250 0.750 0.250
Ag4 0.250 0.750 0.750
Ag5 0.750 0.250 0.250
Ag6 0.750 0.250 0.750
Ag7 0.750 0.750 0.250
Ag8 0.750 0.750 0.750
Ge1 0.000 0.000 0.000
Ge2 0.000 0.500 0.500
Ge3 0.500 0.000 0.500
Ge4 0.500 0.500 0.000
S1 0.000 0.000 0.500
S2 0.000 0.500 0.000
S3 0.500 0.000 0.000
S4 0.500 0.500 0.500

=====

Density functional theory data (PBE) for a geometry-optimized Ag2Ge2S5 structure.

Mass density: 4.145 g cm⁻³
Volume: 23.2 Å³ per atom
Space group: No. 12
E_tot: -3.956 eV per atom
Formation energy without anion corrections: -0.003 eV/atom
Fermi-level density of states: 2.36 states/eV/f.u.
Total moment: 0.00 μB per atom

Cell lengths 7.534, 7.534, 6.459 Å; angles 98.08, 98.08, 35.16 degrees
Positions (direct):
Ag1 0.176 0.176 0.436
Ag2 0.824 0.824 0.564
Ge1 0.354 0.354 0.110
Ge2 0.646 0.646 0.890
S1 0.181 0.181 0.024
S2 0.377 0.377 0.460
S3 0.500 0.500 0.000
S4 0.623 0.623 0.540
S5 0.819 0.819 0.976